Entry 1:
Here is a relaxed Sm2Bi2O7 crystal from Alexandria via LeMat-Bulk. Energies are from PBE.

## Properties
Uncorrected formation energy in eV/atom: -2.0856
Final energy in eV per atom: -6.804
Space group: No. 8

a b c (Å): 5.480 5.676 5.676
angles (deg): 95.64 92.89 92.89
Fractional positions:
1 O 0.279 0.058 0.058
2 O 0.248 0.954 0.566
3 O 0.293 0.474 0.474
4 O 0.785 0.513 0.513
5 O 0.763 0.400 0.016
6 O 0.763 0.016 0.400
7 O 0.248 0.566 0.954
8 Sm 0.038 0.262 0.730
9 Sm 0.038 0.730 0.262
10 Bi 0.545 0.271 0.271
11 Bi 0.500 0.754 0.754

***

Entry 2:
Here is a relaxed Ac5LaAg4 crystal from Alexandria via LeMat-Bulk. Energies are from PBE.

## Properties
Final energy in eV per atom: -3.886
Space group: No. 123
DFT formation energy in eV/f.u.: -1.989
DOS at the Fermi energy in states/eV/f.u.: 10.243

a b c (Å): 3.949 3.949 21.331
angles (deg): 90.00 90.00 90.00
Fractional positions:
1 Ag 0.000 0.000 0.219
2 Ag 0.000 0.000 0.593
3 Ag 0.000 0.000 0.781
4 Ag 0.000 0.000 0.407
5 Ac 0.500 0.500 0.688
6 Ac 0.500 0.500 0.312
7 Ac 0.500 0.500 0.873
8 Ac 0.500 0.500 0.127
9 Ac 0.500 0.500 0.500
10 La 0.000 0.000 0.000

***

Entry 3:
Here is a relaxed In3GaSb4 crystal from Alexandria via LeMat-Bulk. Energies are from PBE.

## Properties
Uncorrected formation energy in eV/atom: -0.1264
Final energy in eV per atom: -3.593
Space group: No. 121
DOS at the Fermi energy in states/eV/f.u.: 0.357

a b c (Å): 6.524 6.524 7.990
angles (deg): 114.10 114.10 90.00
Fractional positions:
1 Sb 0.882 0.882 0.241
2 Sb 0.640 0.118 0.759
3 Sb 0.360 0.360 0.241
4 Sb 0.118 0.640 0.759
5 In 0.750 0.250 0.500
6 In 0.250 0.750 0.500
7 In 0.500 0.500 0.000
8 Ga 0.000 0.000 0.000

***

Entry 4:
Here is a relaxed CeAlZn4Ag2 crystal from Alexandria via LeMat-Bulk. Energies are from PBE.

## Properties
Final energy in eV per atom: -2.631
Space group: No. 166
DFT formation energy in eV/f.u.: -0.576
DOS at the Fermi energy in states/eV/f.u.: 7.863

a b c (Å): 4.411 4.411 9.282
angles (deg): 76.25 76.25 60.00
Each line ends with the local moment (μB).
Fractional positions:
1 Ag 0.241 0.241 0.277  0.00
2 Ag 0.759 0.759 0.723  0.00
3 Al 0.500 0.500 0.500  0.00
4 Zn 0.397 0.397 0.809  0.00
5 Zn 0.125 0.125 0.624  0.00
6 Zn 0.603 0.603 0.191  0.00
7 Zn 0.875 0.875 0.376  0.00
8 Ce 0.000 0.000 0.000  0.74

***

Entry 5:
Here is a relaxed K2BaSc crystal from Alexandria via LeMat-Bulk. Energies are from PBE.

## Properties
Excess energy over the best structure of this formula in the dataset in kJ/mol of atoms: 13.00
Final energy in eV per atom: -2.117
Space group: No. 8
DFT formation energy in eV/f.u.: 1.982
DOS at the Fermi energy in states/eV/f.u.: 7.055

a b c (Å): 6.918 6.918 7.940
angles (deg): 83.79 83.79 32.80
Each line ends with the local moment (μB).
Fractional positions:
1 Ba 0.237 0.237 0.294  0.09
2 Sc 0.504 0.504 0.468  0.66
3 K 0.001 0.001 0.990  0.00
4 K 0.758 0.758 0.748  0.00

***

Entry 6:
Here is a relaxed LaYZnAu crystal from Alexandria via LeMat-Bulk. Energies are from PBE.

## Properties
Excess energy over the best structure of this formula in the dataset in kJ/mol of atoms: 0.00
Final energy in eV per atom: -4.560
Space group: No. 99
DFT formation energy in eV/f.u.: -2.295
DOS at the Fermi energy in states/eV/f.u.: 3.710

a b c (Å): 3.676 3.676 7.394
angles (deg): 90.00 90.00 90.00
Fractional positions:
1 La 0.500 0.500 0.610
2 Au 0.000 0.000 0.329
3 Zn 0.000 0.000 0.880
4 Y 0.500 0.500 0.108

***

Entry 7:
Here is a relaxed RbDyCdF6 crystal from Alexandria via LeMat-Bulk. Energies are from PBE.

## Properties
Uncorrected formation energy in eV/atom: -3.1583
Final energy in eV per atom: -5.126
Space group: No. 74
DOS at the Fermi energy in states/eV/f.u.: 0.000

a b c (Å): 8.345 8.000 8.268
angles (deg): 118.93 120.31 90.00
Fractional positions:
1 F 0.827 0.084 0.265
2 F 0.438 0.084 0.265
3 F 0.562 0.916 0.735
4 F 0.827 0.681 0.265
5 F 0.190 0.940 0.379
6 F 0.810 0.060 0.621
7 F 0.562 0.319 0.735
8 F 0.173 0.916 0.735
9 F 0.438 0.681 0.265
10 F 0.422 0.672 0.845
11 F 0.578 0.328 0.155
12 F 0.173 0.319 0.735
13 Dy 0.000 0.000 0.500
14 Dy 0.500 0.000 0.500
15 Cd 0.500 0.500 0.000
16 Cd 0.500 0.000 0.000
17 Rb 0.808 0.558 0.617
18 Rb 0.192 0.442 0.383

***

Entry 8:
Here is a relaxed V2InIr crystal from Alexandria via LeMat-Bulk. Energies are from PBE.

## Properties
Final energy in eV per atom: -7.127
Space group: No. 122
DFT formation energy in eV/f.u.: 1.328
DOS at the Fermi energy in states/eV/f.u.: 4.269

a b c (Å): 7.242 7.242 5.786
angles (deg): 51.25 51.25 90.00
Fractional positions:
1 Ir 0.000 0.000 0.000
2 Ir 0.750 0.250 0.500
3 V 0.675 0.125 0.250
4 V 0.875 0.925 0.750
5 V 0.375 0.325 0.750
6 V 0.075 0.625 0.250
7 In 0.500 0.500 0.000
8 In 0.250 0.750 0.500

***

- The highest final energy belongs to which entry?
  K2BaSc

***

Please write out number 5 again, unchanged.
Here is a relaxed K2BaSc crystal from Alexandria via LeMat-Bulk. Energies are from PBE.

## Properties
Excess energy over the best structure of this formula in the dataset in kJ/mol of atoms: 13.00
Final energy in eV per atom: -2.117
Space group: No. 8
DFT formation energy in eV/f.u.: 1.982
DOS at the Fermi energy in states/eV/f.u.: 7.055

a b c (Å): 6.918 6.918 7.940
angles (deg): 83.79 83.79 32.80
Each line ends with the local moment (μB).
Fractional positions:
1 Ba 0.237 0.237 0.294  0.09
2 Sc 0.504 0.504 0.468  0.66
3 K 0.001 0.001 0.990  0.00
4 K 0.758 0.758 0.748  0.00